[1]
{
  "formula": "Y3Mg3Cd2Pd",
  "functional": "GGA-PBE",
  "state": "relaxed",
  "space_group": "P-62m (189)",
  "e_tot_ha_per_atom": -0.1412,
  "lattice_angstrom": [[-3.981, -6.228, 2.120], [4.574, 3.546, 5.063], [-3.228, 2.468, 1.188]],
  "species": ["Cd", "Cd", "Mg", "Mg", "Mg", "Pd", "Y", "Y", "Y"],
  "frac_coords": [[0.667, 0.333, 0.000], [0.333, 0.667, 0.000], [0.236, 0.000, 0.000], [0.000, 0.236, 0.000], [0.764, 0.764, 0.000], [0.000, 0.000, 0.500], [0.600, 0.000, 0.500], [0.400, 0.400, 0.500], [0.000, 0.600, 0.500]]
}

[2]
{
  "formula": "LiNb2CdGa2Os2",
  "functional": "GGA-PBE",
  "state": "relaxed",
  "space_group": "P-4m2 (115)",
  "e_tot_ha_per_atom": -0.2400,
  "lattice_angstrom": [[4.383, 0.000, 0.000], [0.000, 4.383, 0.000], [0.000, 0.000, 6.504]],
  "species": ["Cd", "Ga", "Ga", "Li", "Nb", "Nb", "Os", "Os"],
  "frac_coords": [[0.500, 0.500, 0.000], [0.000, 0.500, 0.270], [0.500, 0.000, 0.730], [0.000, 0.000, 0.500], [0.500, 0.000, 0.265], [0.000, 0.500, 0.735], [0.000, 0.000, 0.000], [0.500, 0.500, 0.500]]
}

[3]
{
  "formula": "RbNaSm2As2",
  "functional": "GGA-PBE",
  "state": "relaxed",
  "space_group": "P3m1 (156)",
  "e_tot_ha_per_atom": -0.1485,
  "lattice_angstrom": [[-0.343, 3.692, -2.390], [-2.852, -0.781, 3.274], [8.295, 6.444, 8.764]],
  "species": ["As", "As", "Na", "Rb", "Sm", "Sm"],
  "frac_coords": [[0.333, 0.667, 0.196], [0.667, 0.333, 0.641], [0.333, 0.667, 0.522], [0.667, 0.333, 0.016], [0.000, 0.000, 0.284], [0.000, 0.000, 0.731]]
}

[4]
{
  "formula": "SrMgNiPb",
  "functional": "GGA-PBE",
  "state": "relaxed",
  "relative_energy_mev_per_atom": 0,
  "space_group": "F-43m (216)",
  "e_tot_ha_per_atom": -0.1141,
  "lattice_angstrom": [[-1.832, -0.384, 4.720], [-5.005, -0.393, 0.757], [-1.988, -4.388, 1.603]],
  "species": ["Mg", "Ni", "Pb", "Sr"],
  "frac_coords": [[0.750, 0.750, 0.750], [0.250, 0.250, 0.250], [0.500, 0.500, 0.500], [0.000, 0.000, 0.000]]
}